(1)
First-principles (PBE) data for an optimized crystal structure of Sr2AlHg, as listed in Alexandria.

It has space group Pmm2 (No. 25), with a = 4.275 Å, b = 4.660 Å, c = 7.011 Å, α = 90.00°, β = 90.00° and γ = 90.00°. The distinct sites, in fractional coordinates, are Sr at (0.000, 0.000, 0.000), Sr at (0.500, 0.500, 0.378), Al at (0.000, 0.000, 0.534) and Hg at (0.500, 0.500, 0.839).

The density of states at the Fermi level comes out at 2.58 states/eV/cell. The relative energy among the computed polymorphs comes out at 0.201 eV/atom. For the formation energy, the calculation gives -0.108 eV/atom.

(2)
First-principles (PBE) data for an optimized crystal structure of SrAl2Hg, as listed in Alexandria.

It has space group P2/m (No. 10), with a = 3.835 Å, b = 4.723 Å, c = 5.732 Å, α = 90.00°, β = 90.11° and γ = 90.00°. The distinct sites, in fractional coordinates, are Sr at (0.000, 0.000, 0.000), Al at (0.499, 0.500, 0.751) and Hg at (0.500, 0.000, 0.500).

The density of states at the Fermi level comes out at 2.07 states/eV/cell. The relative energy among the computed polymorphs comes out at 0.155 eV/atom. For the formation energy, the calculation gives -0.088 eV/atom.

(3)
First-principles (PBE) data for an optimized crystal structure of Sr2AlHg, as listed in Alexandria.

It has space group R3m (No. 160, hexagonal axes), with a = 4.6272 Å, b = 4.6272 Å, c = 24.4881 Å, α = 90.00°, β = 90.00° and γ = 120.00°. The distinct sites, in fractional coordinates, are Sr at (0.0000, 0.0000, 0.0000), Sr at (0.0000, 0.0000, 0.1814), Al at (0.0000, 0.0000, 0.7587) and Hg at (0.0000, 0.0000, 0.4227).

The density of states at the Fermi level comes out at 11.01 states/eV/cell. The relative energy among the computed polymorphs comes out at 0.048 eV/atom. For the formation energy, the calculation gives -0.262 eV/atom.

(4)
First-principles (PBE) data for an optimized crystal structure of SrAlHg, as listed in Alexandria.

It has space group F-43m (No. 216), with a = 7.171 Å, b = 7.171 Å, c = 7.171 Å, α = 90.00°, β = 90.00° and γ = 90.00°. The distinct sites, in fractional coordinates, are Sr at (0.000, 0.000, 0.000), Al at (0.000, 0.000, 0.500) and Hg at (0.250, 0.250, 0.750).

The density of states at the Fermi level comes out at 19.06 states/eV/cell. The relative energy among the computed polymorphs comes out at 0.264 eV/atom. For the formation energy, the calculation gives -0.133 eV/atom.

Number 1: total energy -1.960 eV/atom. Number 2: total energy -2.455 eV/atom. Number 3: total energy -2.114 eV/atom. Number 4: total energy -2.041 eV/atom.